Compound: KIn2Ga2
Source: Alexandria
Functional: PBE-GGA
Structure: relaxed

Calculated values
- energy of formation (eV/atom) = -0.141
- D(E_F) (states/eV/f.u.) = 1.8
- crystal system = tetragonal
- energy (eV per cell) = -13.3

Cell: 4.757 4.757 6.766 Å, 69.42 69.42 90.00°
Element x y z (fractional)
In (0.250, 0.750, 0.500)
In (0.750, 0.250, 0.500)
Ga (0.609, 0.609, 0.782)
Ga (0.391, 0.391, 0.218)
K (0.000, 0.000, 0.000)